Entry from Alexandria: crystalline Na2MgZr2S6 at its relaxed geometry (PBE).

a b c (Å): 6.4921 6.4921 7.1142
angles (deg): 98.58 98.58 120.45
Atoms (fractional coordinates):
Na: 0.1648 0.8352 0.0000
Na: 0.8352 0.1648 0.0000
Mg: 0.0000 0.0000 0.5000
Zr: 0.3337 0.6663 0.5000
Zr: 0.6663 0.3337 0.5000
S: 0.0692 0.4109 0.7143
S: 0.2656 0.2656 0.2876
S: 0.4109 0.0692 0.7143
S: 0.5891 0.9308 0.2857
S: 0.7344 0.7344 0.7124
S: 0.9308 0.5891 0.2857

Output
**SG**: No. 12
**Total DFT energy (no corrections)**: -62.3 eV per cell